# meta-GGA SCAN LaTlAg2, single point on PBEsol structure
# Volume (Å³ per cell): 96.6
# Formation energy (eV/atom): -0.1959
data_LaTlAg2
_space_group_name_H-M_alt 'P m m m'
_space_group_IT_number 47
_cell_length_a 3.374
_cell_length_b 4.836
_cell_length_c 5.923
_cell_angle_alpha 90.00
_cell_angle_beta 90.00
_cell_angle_gamma 90.00
loop_
_space_group_symop_operation_xyz
'x,y,z'
'-x,-y,-z'
'-x,-y,z'
'x,y,-z'
'x,-y,-z'
'-x,y,z'
'-x,y,-z'
'x,-y,z'
loop_
_atom_site_label
_atom_site_fract_x
_atom_site_fract_y
_atom_site_fract_z
La1 0.000 0.000 0.000
Tl1 0.500 0.000 0.500
Ag1 0.500 0.500 0.241

***

# meta-GGA SCAN La2Tl2Ag, single point on PBEsol structure
# Volume (Å³ per cell): 280.3
# Formation energy (eV/atom): -0.4583
data_La2Tl2Ag
_space_group_name_H-M_alt 'P 4/m b m'
_space_group_IT_number 127
_space_group_name_Hall '-P 4 2ab'
_cell_length_a 7.576
_cell_length_b 7.576
_cell_length_c 4.883
_cell_angle_alpha 90.00
_cell_angle_beta 90.00
_cell_angle_gamma 90.00
loop_
_atom_site_label
_atom_site_fract_x
_atom_site_fract_y
_atom_site_fract_z
La1 0.157 0.343 0.000
Tl1 0.146 0.646 0.500
Ag1 0.000 0.000 0.500

***

# meta-GGA SCAN LaAg2W, single point on PBEsol structure
# Volume (Å³ per cell): 78.2
# Formation energy (eV/atom): 0.6897
data_LaAg2W
_space_group_name_H-M_alt 'P 4/m m m'
_space_group_IT_number 123
_space_group_name_Hall '-P 4 2'
_cell_length_a 4.224
_cell_length_b 4.224
_cell_length_c 4.381
_cell_angle_alpha 90.00
_cell_angle_beta 90.00
_cell_angle_gamma 90.00
loop_
_atom_site_label
_atom_site_fract_x
_atom_site_fract_y
_atom_site_fract_z
La1 0.000 0.000 0.000
Ag1 0.000 0.500 0.500
W1 0.500 0.500 0.000

***

# meta-GGA SCAN La2AgW, single point on PBEsol structure
# Volume (Å³ per cell): 187.8
# Formation energy (eV/atom): 0.4346
data_La2AgW
_space_group_name_H-M_alt 'C 1 m 1'
_space_group_IT_number 8
_cell_length_a 11.438
_cell_length_b 3.049
_cell_length_c 5.522
_cell_angle_alpha 90.00
_cell_angle_beta 102.80
_cell_angle_gamma 90.00
loop_
_space_group_symop_operation_xyz
'x,y,z'
'x,-y,z'
'x+1/2,y+1/2,z'
'x+1/2,-y+1/2,z'
loop_
_atom_site_label
_atom_site_fract_x
_atom_site_fract_y
_atom_site_fract_z
La1 0.000 0.000 0.000
La2 0.191 0.000 0.624
Ag1 0.260 0.500 0.163
W1 0.439 0.000 0.484

***

# meta-GGA SCAN LaAg2W, single point on PBEsol structure
# Volume (Å³ per cell): 156.9
# Formation energy (eV/atom): 0.6579
data_LaAg2W
_space_group_name_H-M_alt 'C 1 m 1'
_space_group_IT_number 8
_cell_length_a 9.911
_cell_length_b 2.864
_cell_length_c 5.587
_cell_angle_alpha 90.00
_cell_angle_beta 98.38
_cell_angle_gamma 90.00
loop_
_space_group_symop_operation_xyz
'x,y,z'
'x,-y,z'
'x+1/2,y+1/2,z'
'x+1/2,-y+1/2,z'
loop_
_atom_site_label
_atom_site_fract_x
_atom_site_fract_y
_atom_site_fract_z
La1 0.000 0.000 0.000
Ag1 0.005 0.500 0.511
Ag2 0.262 0.500 0.281
W1 0.250 0.000 0.722

***

# meta-GGA SCAN LaAgW2, single point on PBEsol structure
# Volume (Å³ per cell): 80.3
# Formation energy (eV/atom): 0.4264
data_LaAgW2
_space_group_name_H-M_alt 'P 4 m m'
_space_group_IT_number 99
_cell_length_a 3.232
_cell_length_b 3.232
_cell_length_c 7.693
_cell_angle_alpha 90.00
_cell_angle_beta 90.00
_cell_angle_gamma 90.00
loop_
_space_group_symop_operation_xyz
'x,y,z'
'-y,x,z'
'-x,-y,z'
'y,-x,z'
'-x,y,z'
'y,x,z'
'x,-y,z'
'-y,-x,z'
loop_
_atom_site_label
_atom_site_fract_x
_atom_site_fract_y
_atom_site_fract_z
La1 0.000 0.000 0.000
Ag1 0.500 0.500 0.690
W1 0.000 0.000 0.457
W2 0.500 0.500 0.294

***

# meta-GGA SCAN LaAg2W, single point on PBEsol structure
# Volume (Å³ per cell): 157.9
# Formation energy (eV/atom): 0.6882
data_LaAg2W
_space_group_name_H-M_alt 'I m m 2'
_space_group_IT_number 44
_cell_length_a 2.918
_cell_length_b 5.284
_cell_length_c 10.241
_cell_angle_alpha 90.00
_cell_angle_beta 90.00
_cell_angle_gamma 90.00
loop_
_space_group_symop_operation_xyz
'x,y,z'
'-x,-y,z'
'-x,y,z'
'x,-y,z'
'x+1/2,y+1/2,z+1/2'
'-x+1/2,-y+1/2,z+1/2'
'-x+1/2,y+1/2,z+1/2'
'x+1/2,-y+1/2,z+1/2'
loop_
_atom_site_label
_atom_site_fract_x
_atom_site_fract_y
_atom_site_fract_z
La1 0.000 0.000 0.000
Ag1 0.000 0.000 0.490
Ag2 0.000 0.500 0.223
W1 0.000 0.500 0.757

***

# meta-GGA SCAN LaAgW2, single point on PBEsol structure
# Volume (Å³ per cell): 74.4
# Formation energy (eV/atom): 0.6745
data_LaAgW2
_space_group_name_H-M_alt 'P 4 m m'
_space_group_IT_number 99
_cell_length_a 2.774
_cell_length_b 2.774
_cell_length_c 9.660
_cell_angle_alpha 90.00
_cell_angle_beta 90.00
_cell_angle_gamma 90.00
loop_
_space_group_symop_operation_xyz
'x,y,z'
'-y,x,z'
'-x,-y,z'
'y,-x,z'
'-x,y,z'
'y,x,z'
'x,-y,z'
'-y,-x,z'
loop_
_atom_site_label
_atom_site_fract_x
_atom_site_fract_y
_atom_site_fract_z
La1 0.000 0.000 0.000
Ag1 0.500 0.500 0.717
W1 0.000 0.000 0.501
W2 0.500 0.500 0.275

***

# meta-GGA SCAN La2AgW, single point on PBEsol structure
# Volume (Å³ per cell): 97.1
# Formation energy (eV/atom): 0.3621
data_La2AgW
_space_group_name_H-M_alt 'P m m m'
_space_group_IT_number 47
_cell_length_a 3.193
_cell_length_b 3.650
_cell_length_c 8.331
_cell_angle_alpha 90.00
_cell_angle_beta 90.00
_cell_angle_gamma 90.00
loop_
_space_group_symop_operation_xyz
'x,y,z'
'-x,-y,-z'
'-x,-y,z'
'x,y,-z'
'x,-y,-z'
'-x,y,z'
'-x,y,-z'
'x,-y,z'
loop_
_atom_site_label
_atom_site_fract_x
_atom_site_fract_y
_atom_site_fract_z
La1 0.000 0.000 0.232
Ag1 0.500 0.500 0.500
W1 0.500 0.500 0.000

***

# meta-GGA SCAN LaY2Ag, single point on PBEsol structure
# Volume (Å³ per cell): 113.5
# Formation energy (eV/atom): -0.1435
data_LaY2Ag
_space_group_name_H-M_alt 'P 4 m m'
_space_group_IT_number 99
_cell_length_a 3.607
_cell_length_b 3.607
_cell_length_c 8.722
_cell_angle_alpha 90.00
_cell_angle_beta 90.00
_cell_angle_gamma 90.00
loop_
_space_group_symop_operation_xyz
'x,y,z'
'-y,x,z'
'-x,-y,z'
'y,-x,z'
'-x,y,z'
'y,x,z'
'x,-y,z'
'-y,-x,z'
loop_
_atom_site_label
_atom_site_fract_x
_atom_site_fract_y
_atom_site_fract_z
La1 0.000 0.000 0.000
Y1 0.000 0.000 0.571
Y2 0.500 0.500 0.292
Ag1 0.500 0.500 0.762

***

# meta-GGA SCAN LaY2Ag, single point on PBEsol structure
# Volume (Å³ per cell): 222.7
# Formation energy (eV/atom): -0.1294
data_LaY2Ag
_space_group_name_H-M_alt 'I m m 2'
_space_group_IT_number 44
_cell_length_a 3.722
_cell_length_b 5.349
_cell_length_c 11.188
_cell_angle_alpha 90.00
_cell_angle_beta 90.00
_cell_angle_gamma 90.00
loop_
_space_group_symop_operation_xyz
'x,y,z'
'-x,-y,z'
'-x,y,z'
'x,-y,z'
'x+1/2,y+1/2,z+1/2'
'-x+1/2,-y+1/2,z+1/2'
'-x+1/2,y+1/2,z+1/2'
'x+1/2,-y+1/2,z+1/2'
loop_
_atom_site_label
_atom_site_fract_x
_atom_site_fract_y
_atom_site_fract_z
La1 0.000 0.000 0.000
Y1 0.000 0.000 0.435
Y2 0.000 0.500 0.218
Ag1 0.000 0.500 0.729

***

# meta-GGA SCAN LaY2Ag2, single point on PBEsol structure
# Volume (Å³ per cell): 258.4
# Formation energy (eV/atom): -0.2619
data_LaY2Ag2
_space_group_name_H-M_alt 'P 4/m b m'
_space_group_IT_number 127
_space_group_name_Hall '-P 4 2ab'
_cell_length_a 8.279
_cell_length_b 8.279
_cell_length_c 3.769
_cell_angle_alpha 90.00
_cell_angle_beta 90.00
_cell_angle_gamma 90.00
loop_
_atom_site_label
_atom_site_fract_x
_atom_site_fract_y
_atom_site_fract_z
La1 0.000 0.000 0.000
Y1 0.165 0.335 0.500
Ag1 0.123 0.623 0.000

***

# meta-GGA SCAN LaY2Ag, single point on PBEsol structure
# Volume (Å³ per cell): 226.3
# Formation energy (eV/atom): -0.1295
data_LaY2Ag
_space_group_name_H-M_alt 'I m m m'
_space_group_IT_number 71
_space_group_name_Hall '-I 2 2'
_cell_length_a 3.673
_cell_length_b 5.488
_cell_length_c 11.229
_cell_angle_alpha 90.00
_cell_angle_beta 90.00
_cell_angle_gamma 90.00
loop_
_atom_site_label
_atom_site_fract_x
_atom_site_fract_y
_atom_site_fract_z
La1 0.000 0.000 0.000
Y1 0.000 0.500 0.216
Ag1 0.000 0.000 0.500

***

# meta-GGA SCAN LaYAg, single point on PBEsol structure
# Volume (Å³ per cell): 165.6
# Formation energy (eV/atom): -0.2226
data_LaYAg
_space_group_name_H-M_alt 'I 4 m m'
_space_group_IT_number 107
_space_group_name_Hall 'I 4 -2'
_cell_length_a 3.639
_cell_length_b 3.639
_cell_length_c 12.504
_cell_angle_alpha 90.00
_cell_angle_beta 90.00
_cell_angle_gamma 90.00
loop_
_atom_site_label
_atom_site_fract_x
_atom_site_fract_y
_atom_site_fract_z
La1 0.000 0.000 0.000
Y1 0.000 0.000 0.707
Ag1 0.000 0.000 0.336